Material: KGaO2
Method: DFT, PBE
State: relaxed

Values from the calculation:
- Uncorrected formation energy: -7.39 eV per formula unit
- ρ: 3.7 g cm⁻³

Geometry as CIF:
```
data_KGaO2
_cell_length_a 5.610
_cell_length_b 11.251
_cell_length_c 15.958
_cell_angle_alpha 90.00
_cell_angle_beta 90.00
_cell_angle_gamma 90.00
_space_group_name_H-M_alt 'P b c a'
_space_group_IT_number 61
loop_
_space_group_symop_operation_xyz
'x,y,z'
'-x,-y,-z'
'-x+1/2,-y,z+1/2'
'x+1/2,y,-z+1/2'
'x+1/2,-y+1/2,-z'
'-x+1/2,y+1/2,z'
'-x,y+1/2,-z+1/2'
'x,-y+1/2,z+1/2'
loop_
_atom_site_label
_atom_site_fract_x
_atom_site_fract_y
_atom_site_fract_z
K1 0.206 0.234 0.184
K2 0.243 0.014 0.561
Ga1 0.222 0.237 0.435
Ga2 0.233 0.009 0.811
O1 0.054 0.519 0.214
O2 0.061 0.694 0.010
O3 0.145 0.594 0.398
O4 0.161 0.165 0.843
```